[1]
## Li2Pr2Tl5 (PBE-GGA)

Data for an optimized crystal structure of Li2Pr2Tl5.

POSCAR file:
```
Li2Pr2Tl5
1.0
-1.624 -4.481 1.120
3.472 -1.968 -2.837
6.057 -0.292 7.614
Li Tl Pr
2 5 2
direct
0.500 0.500 0.125
0.500 0.500 0.875
0.500 0.000 0.752
0.000 0.500 0.248
0.000 0.500 0.752
0.500 0.000 0.248
0.500 0.500 0.500
0.000 0.000 0.000
0.000 0.000 0.500
```

energy of formation	-0.25	eV per atom
calculated total energy	-27.497	eV for the cell shown



[2]
## KTaCl2 (PBE-GGA)

Data for an optimized crystal structure of KTaCl2.

POSCAR file:
```
KTaCl2
1.0
-1.807 5.655 -1.904
-4.714 1.506 3.792
6.078 -1.014 -0.946
Cl Ta K
2 1 1
direct
0.943 0.943 0.000
0.557 0.557 0.000
0.750 0.250 0.500
0.250 0.750 0.500
```

calculated total energy	-18.139	eV for the cell shown



[3]
## ThGaH6Ru3 (PBE-GGA)

Data for an optimized crystal structure of ThGaH6Ru3.

POSCAR file:
```
ThGaH6Ru3
1.0
4.782 0.287 -0.289
0.316 4.780 0.289
-0.316 0.318 4.778
H Th Ru Ga
6 1 3 1
direct
0.696 0.933 0.418
0.418 0.933 0.696
0.067 0.304 0.418
0.418 0.304 0.067
0.696 0.582 0.067
0.067 0.582 0.696
0.561 0.439 0.561
0.087 0.913 0.503
0.503 0.912 0.087
0.087 0.497 0.088
0.969 0.031 0.969
```

calculated total energy	-61.030	eV for the cell shown



[4]
## KBPb (PBE-GGA)

Data for an optimized crystal structure of KBPb.

POSCAR file:
```
KBPb
1.0
3.246 -0.019 -0.007
0.046 8.069 -0.143
0.008 -0.623 6.173
K Pb B
2 2 2
direct
0.647 0.585 0.071
0.647 0.103 0.234
0.148 0.892 0.692
0.148 0.462 0.547
0.905 0.229 0.786
0.395 0.229 0.786
```

energy of formation	0.17	eV per atom
calculated total energy	-21.919	eV for the cell shown



Values of density of states at the Fermi level, in order: 0.62; 0.63; 0.17; 0.31, all in states/eV/atom.